Record 1
LuHfRe4: optimized geometry, GGA-PBE.

Properties
energy relative to the elements = -0.297 eV/atom
magnetic moment = 0.0 μB per formula unit

abc: 7.526 7.526 7.526
angles: 90.00 90.00 90.00
Space group F-43m (No. 216)
One atom of each set of equivalent atoms:
Lu 0.000 0.000 0.000
Hf 0.250 0.250 0.250
Re 0.125 0.125 0.625

Record 2
CsRhPb2: optimized geometry, GGA-PBE.

Properties
energy relative to the elements = 0.062 eV/atom
energy relative to the lowest polymorph listed for this composition = 0.1176 eV/atom
magnetic moment = 0.0 μB per formula unit

abc: 7.022 7.022 15.001
angles: 90.00 90.00 90.00
Space group I-42d (No. 122)
One atom of each set of equivalent atoms:
Cs 0.000 0.000 0.000
Rh 0.000 0.000 0.500
Pb 0.001 0.750 0.625

Record 3
PuScRhAu: optimized geometry, GGA-PBE.

Properties
energy relative to the elements = -0.527 eV/atom
magnetic moment = 5.6 μB per formula unit

abc: 6.887 6.887 6.887
angles: 90.00 90.00 90.00
Space group F-43m (No. 216)
One atom of each set of equivalent atoms:
Pu 0.000 0.000 0.000
Sc 0.000 0.000 0.500
Rh 0.250 0.250 0.250
Au 0.250 0.250 0.750

Record 4
CrReRh2: optimized geometry, GGA-PBE.

Properties
energy relative to the elements = -0.058 eV/atom
energy relative to the lowest polymorph listed for this composition = 0.0751 eV/atom
magnetic moment = 0.8 μB per formula unit

abc: 2.690 3.839 5.344
angles: 90.00 90.00 90.00
Space group Pmmm (No. 47)
One atom of each set of equivalent atoms:
Cr 0.000 0.000 0.000
Re 0.000 0.000 0.500
Rh 0.500 0.500 0.246

Please write out number 3 again, unchanged.
PuScRhAu: optimized geometry, GGA-PBE.

Properties
energy relative to the elements = -0.527 eV/atom
magnetic moment = 5.6 μB per formula unit

abc: 6.887 6.887 6.887
angles: 90.00 90.00 90.00
Space group F-43m (No. 216)
One atom of each set of equivalent atoms:
Pu 0.000 0.000 0.000
Sc 0.000 0.000 0.500
Rh 0.250 0.250 0.250
Au 0.250 0.250 0.750

Please write out number 4 again, unchanged.
CrReRh2: optimized geometry, GGA-PBE.

Properties
energy relative to the elements = -0.058 eV/atom
energy relative to the lowest polymorph listed for this composition = 0.0751 eV/atom
magnetic moment = 0.8 μB per formula unit

abc: 2.690 3.839 5.344
angles: 90.00 90.00 90.00
Space group Pmmm (No. 47)
One atom of each set of equivalent atoms:
Cr 0.000 0.000 0.000
Re 0.000 0.000 0.500
Rh 0.500 0.500 0.246

Number 1 is which compound? LuHfRe4

Which value of energy relative to the elements does entry 4 give? -0.058 eV/atom